The following is a PBE-GGA calculation of crystalline Li5Tl6Rh at its relaxed geometry, from Alexandria.

Summary:
The formation energy from the elements is -2.1 eV per formula unit. Its total energy is -33.256 eV for the cell shown. The value obtained for the magnetic moment is 0.0000 μB per atom.

a b c (Å): 4.9189 6.6970 7.7125
angles (deg): 90.00 71.60 90.00
With the nearest neighbours (Å) after each atom.
Sites, in units of the cell vectors:
1 Tl 0.5000 0.7477 0.0000  6 Li 2.89-3.05, 2 Rh 2.98
2 Li 0.6591 0.0000 0.6803  8 Tl 2.89-3.04
3 Tl 0.8352 0.2449 0.3311  7 Li 2.89-3.04, 1 Rh 2.93
4 Li 0.3409 0.0000 0.3197  8 Tl 2.89-3.04
5 Tl 0.5000 0.2523 0.0000  6 Li 2.89-3.05, 2 Rh 2.98
6 Tl 0.8352 0.7551 0.3311  7 Li 2.89-3.04, 1 Rh 2.93
7 Tl 0.1648 0.7551 0.6689  7 Li 2.89-3.04, 1 Rh 2.93
8 Rh 0.0000 0.0000 0.0000  8 Tl 2.93-2.98
9 Li 0.3248 0.5000 0.3502  8 Tl 2.89-3.05
10 Tl 0.1648 0.2449 0.6689  7 Li 2.89-3.04, 1 Rh 2.93
11 Li 0.0000 0.5000 0.0000  8 Tl 2.96-2.97
12 Li 0.6752 0.5000 0.6498  8 Tl 2.89-3.05